Below is Mg12Tl5Ge3 after structural relaxation, with properties calculated at the PBE level.

Cell: 14.319 14.319 14.319 Å, 109.47 109.47 109.47°
Fractional coordinates of all 80 atoms:
Ge1 0.750 0.375 0.125
Ge2 0.875 0.750 0.125
Ge3 0.375 0.750 0.625
Ge4 0.250 0.125 0.375
Ge5 0.875 0.125 0.250
Ge6 0.375 0.625 0.250
Ge7 0.625 0.375 0.750
Ge8 0.125 0.875 0.750
Ge9 0.750 0.875 0.625
Ge10 0.625 0.250 0.375
Ge11 0.125 0.250 0.875
Ge12 0.250 0.625 0.875
Tl1 0.125 0.375 0.250
Tl2 0.000 0.500 0.000
Tl3 0.000 0.000 0.000
Tl4 0.375 0.250 0.125
Tl5 0.500 0.000 0.500
Tl6 0.500 0.500 0.000
Tl7 0.125 0.750 0.375
Tl8 0.750 0.125 0.875
Tl9 0.750 0.625 0.375
Tl10 0.375 0.125 0.750
Tl11 0.625 0.875 0.250
Tl12 0.500 0.500 0.500
Tl13 0.500 0.000 0.000
Tl14 0.000 0.000 0.500
Tl15 0.250 0.375 0.625
Tl16 0.250 0.875 0.125
Tl17 0.000 0.500 0.500
Tl18 0.875 0.250 0.625
Tl19 0.625 0.750 0.875
Tl20 0.875 0.625 0.750
Mg1 0.736 0.130 0.072
Mg2 0.336 0.572 0.442
Mg3 0.928 0.370 0.264
Mg4 0.572 0.236 0.130
Mg5 0.606 0.736 0.664
Mg6 0.928 0.558 0.164
Mg7 0.336 0.764 0.394
Mg8 0.058 0.894 0.130
Mg9 0.558 0.928 0.664
Mg10 0.736 0.606 0.164
Mg11 0.764 0.428 0.370
Mg12 0.836 0.942 0.072
Mg13 0.130 0.736 0.572
Mg14 0.370 0.442 0.106
Mg15 0.106 0.942 0.370
Mg16 0.394 0.130 0.558
Mg17 0.106 0.164 0.236
Mg18 0.428 0.664 0.058
Mg19 0.836 0.894 0.264
Mg20 0.130 0.394 0.058
Mg21 0.370 0.928 0.764
Mg22 0.558 0.630 0.394
Mg23 0.942 0.836 0.572
Mg24 0.764 0.336 0.894
Mg25 0.442 0.370 0.606
Mg26 0.058 0.164 0.428
Mg27 0.236 0.664 0.106
Mg28 0.164 0.106 0.736
Mg29 0.630 0.072 0.236
Mg30 0.870 0.606 0.942
Mg31 0.572 0.336 0.942
Mg32 0.606 0.870 0.442
Mg33 0.894 0.836 0.764
Mg34 0.894 0.058 0.630
Mg35 0.870 0.264 0.428
Mg36 0.164 0.058 0.928
Mg37 0.630 0.558 0.894
Mg38 0.442 0.072 0.336
Mg39 0.264 0.394 0.836
Mg40 0.236 0.572 0.630
Mg41 0.942 0.106 0.870
Mg42 0.664 0.236 0.606
Mg43 0.428 0.764 0.870
Mg44 0.072 0.442 0.836
Mg45 0.394 0.264 0.336
Mg46 0.072 0.630 0.736
Mg47 0.664 0.428 0.558
Mg48 0.264 0.870 0.928

Values from the calculation:
- Crystal system: cubic
- Calculated volume: 28.3 Å³ per atom
- DFT formation energy: 3.7 eV/f.u.
- SG: Ia-3d, No. 230